Record 1
# Nd3Al4Pt4 (PBE, optimized geometry)
data_Nd3Al4Pt4
_cell_length_a 4.228
_cell_length_b 7.270
_cell_length_c 14.405
_cell_angle_alpha 90.00
_cell_angle_beta 90.00
_cell_angle_gamma 90.00
_space_group_name_H-M_alt 'I m m m'
_space_group_IT_number 71
_space_group_name_Hall '-I 2 2'
loop_
_atom_site_label
_atom_site_fract_x
_atom_site_fract_y
_atom_site_fract_z
Nd1 0.000 0.000 0.000
Nd2 0.000 0.500 0.120
Al1 0.000 0.304 0.321
Pt1 0.000 0.000 0.217
Pt2 0.000 0.209 0.500
# E_form, eV per formula unit: -12.00

***

Record 2
# SmEuZn (PBE, optimized geometry)
data_SmEuZn
_cell_length_a 5.1360
_cell_length_b 5.1360
_cell_length_c 3.7920
_cell_angle_alpha 90.00
_cell_angle_beta 90.00
_cell_angle_gamma 120.00
_space_group_name_H-M_alt 'P 3 m 1'
_space_group_IT_number 156
loop_
_space_group_symop_operation_xyz
'x,y,z'
'-y,x-y,z'
'-x+y,-x,z'
'-y,-x,z'
'-x+y,y,z'
'x,x-y,z'
loop_
_atom_site_label
_atom_site_fract_x
_atom_site_fract_y
_atom_site_fract_z
Sm1 0.0000 0.0000 0.0000
Eu1 0.6667 0.3333 0.5567
Zn1 0.3333 0.6667 0.2336
# Excess energy over the best structure of this formula in the dataset, eV/atom: 0.180
# E_form, eV per formula unit: 0.00

***

| no. | E_tot (eV per cell) |
| --- | --- |
| 1 | -130.88 |
| 2 | -16.27 |